{
  "formula": "CoHg4Au",
  "functional": "PBE",
  "state": "relaxed",
  "lattice": [[-4.156, -3.215, 2.287], [-5.493, 1.402, -0.833], [-3.303, -3.241, -3.380]],
  "species": ["Au", "Hg", "Hg", "Hg", "Hg", "Co"],
  "frac_coords": [[0.750, 0.750, 0.750], [0.876, 0.375, 0.375], [0.375, 0.876, 0.375], [0.375, 0.375, 0.375], [0.375, 0.375, 0.876], [0.000, 0.000, 0.000]],
  "energy_ev_per_atom": -1.227,
  "ef_ev_per_atom": 0.70
}